# 1
Computed, not measured: a geometry-optimized Y2Cl structure at the PBE level of DFT.

CIF file:
```
data_Y2Cl
_chemical_formula_sum 'Y8 Cl4'
_symmetry_space_group_name_H-M 'P 63/m m c'
_symmetry_Int_Tables_number 194
_symmetry_space_group_name_Hall '-P 6c 2c'
_cell_length_a 6.9817
_cell_length_b 6.9817
_cell_length_c 12.1246
_cell_angle_alpha 90.00
_cell_angle_beta 90.00
_cell_angle_gamma 120.00
loop_
_atom_site_label
_atom_site_type_symbol
_atom_site_fract_x
_atom_site_fract_y
_atom_site_fract_z
Y1 Y 0.0000 0.0000 0.0000
Y2 Y 0.1616 0.3232 0.2500
Cl1 Cl 0.3333 0.6667 0.0967
```

Properties
- Formation energy without anion corrections: -0.104 eV/atom
- Distance to the lowest polymorph of the same formula: 820.3 meV per atom



# 2
Computed, not measured: a geometry-optimized VTe4W structure at the PBE level of DFT.

CIF file:
```
data_VTe4W
_chemical_formula_sum 'V2 Te8 W2'
_symmetry_space_group_name_H-M 'C 1 2/m 1'
_symmetry_Int_Tables_number 12
_cell_length_a 16.4807
_cell_length_b 3.5601
_cell_length_c 6.1776
_cell_angle_alpha 90.00
_cell_angle_beta 111.75
_cell_angle_gamma 90.00
loop_
_symmetry_equiv_pos_as_xyz
'x,y,z'
'-x,-y,-z'
'-x,y,-z'
'x,-y,z'
'x+1/2,y+1/2,z'
'-x+1/2,-y+1/2,-z'
'-x+1/2,y+1/2,-z'
'x+1/2,-y+1/2,z'
loop_
_atom_site_label
_atom_site_type_symbol
_atom_site_fract_x
_atom_site_fract_y
_atom_site_fract_z
V1 V 0.0000 0.0000 0.0000
Te1 Te 0.1160 0.5000 0.2760
Te2 Te 0.1173 0.0000 0.7895
W1 W 0.0000 0.5000 0.5000
```

Properties
- Formation energy without anion corrections: -0.106 eV/atom
- Distance to the lowest polymorph of the same formula: 88.7 meV per atom



# 3
Computed, not measured: a geometry-optimized TaNiC structure at the PBE level of DFT.

CIF file:
```
data_TaNiC
_chemical_formula_sum 'Ta6 Ni6 C6'
_symmetry_space_group_name_H-M 'R -3 m'
_symmetry_Int_Tables_number 166
_symmetry_space_group_name_Hall '-R 3 2"'
_cell_length_a 3.7807
_cell_length_b 3.7807
_cell_length_c 18.4788
_cell_angle_alpha 90.00
_cell_angle_beta 90.00
_cell_angle_gamma 120.00
loop_
_atom_site_label
_atom_site_type_symbol
_atom_site_fract_x
_atom_site_fract_y
_atom_site_fract_z
Ta1 Ta 0.0000 0.0000 0.1063
Ni1 Ni 0.0000 0.0000 0.3184
C1 C 0.0000 0.0000 0.2191
```

Properties
- DFT formation energy: -17 kJ/mol of formula units



# 4
Computed, not measured: a geometry-optimized RbTlIn4Sn2 structure at the PBE level of DFT.

CIF file:
```
data_RbTlIn4Sn2
_chemical_formula_sum 'Rb3 Tl3 In12 Sn6'
_symmetry_space_group_name_H-M 'R -3 m'
_symmetry_Int_Tables_number 166
_symmetry_space_group_name_Hall '-R 3 2"'
_cell_length_a 5.4209
_cell_length_b 5.4209
_cell_length_c 31.1407
_cell_angle_alpha 90.00
_cell_angle_beta 90.00
_cell_angle_gamma 120.00
loop_
_atom_site_label
_atom_site_type_symbol
_atom_site_fract_x
_atom_site_fract_y
_atom_site_fract_z
Rb1 Rb 0.0000 0.0000 0.0000
Tl1 Tl 0.0000 0.0000 0.5000
In1 In 0.0000 0.0000 0.1283
In2 In 0.0000 0.0000 0.4019
Sn1 Sn 0.0000 0.0000 0.2321
```

Properties
- DFT formation energy: 0 kJ/mol of formula units



# 5
Computed, not measured: a geometry-optimized GaPtNF2 structure at the PBE level of DFT.

CIF file:
```
data_GaPtNF2
_chemical_formula_sum 'Ga1 Pt1 N1 F2'
_symmetry_space_group_name_H-M 'P 4/m m m'
_symmetry_Int_Tables_number 123
_symmetry_space_group_name_Hall '-P 4 2'
_cell_length_a 3.7362
_cell_length_b 3.7362
_cell_length_c 4.2937
_cell_angle_alpha 90.00
_cell_angle_beta 90.00
_cell_angle_gamma 90.00
loop_
_atom_site_label
_atom_site_type_symbol
_atom_site_fract_x
_atom_site_fract_y
_atom_site_fract_z
Ga1 Ga 0.0000 0.0000 0.0000
Pt1 Pt 0.5000 0.5000 0.5000
N1 N 0.0000 0.0000 0.5000
F1 F 0.0000 0.5000 0.0000
```

Properties
- Formation energy without anion corrections: -0.242 eV/atom
- Distance to the lowest polymorph of the same formula: 107.8 meV per atom



# 6
Computed, not measured: a geometry-optimized Zr2Mo3 structure at the PBE level of DFT.

CIF file:
```
data_Zr2Mo3
_chemical_formula_sum 'Zr16 Mo24'
_symmetry_space_group_name_H-M 'F d d 2'
_symmetry_Int_Tables_number 43
_symmetry_space_group_name_Hall 'F 2 -2d'
_cell_length_a 10.1904
_cell_length_b 13.5601
_cell_length_c 5.6244
_cell_angle_alpha 90.00
_cell_angle_beta 90.00
_cell_angle_gamma 90.00
loop_
_atom_site_label
_atom_site_type_symbol
_atom_site_fract_x
_atom_site_fract_y
_atom_site_fract_z
Zr1 Zr 0.0744 0.3023 0.0000
Mo1 Mo 0.0000 0.0000 0.3017
Mo2 Mo 0.0705 0.3838 0.4871
```

Properties
- DFT formation energy: 92 kJ/mol of formula units
- Distance to the lowest polymorph of the same formula: 0.0 meV per atom



# 7
Computed, not measured: a geometry-optimized NaMgH2Pd structure at the PBE level of DFT.

CIF file:
```
data_NaMgH2Pd
_chemical_formula_sum 'Na1 Mg1 H2 Pd1'
_symmetry_space_group_name_H-M 'P 4/m m m'
_symmetry_Int_Tables_number 123
_symmetry_space_group_name_Hall '-P 4 2'
_cell_length_a 3.8902
_cell_length_b 3.8902
_cell_length_c 5.2455
_cell_angle_alpha 90.00
_cell_angle_beta 90.00
_cell_angle_gamma 90.00
loop_
_atom_site_label
_atom_site_type_symbol
_atom_site_fract_x
_atom_site_fract_y
_atom_site_fract_z
Na1 Na 0.0000 0.0000 0.0000
Mg1 Mg 0.5000 0.5000 0.5000
H1 H 0.0000 0.5000 0.0000
Pd1 Pd 0.0000 0.0000 0.5000
```



# 8
Computed, not measured: a geometry-optimized SmMoCl structure at the PBE level of DFT.

CIF file:
```
data_SmMoCl
_chemical_formula_sum 'Sm2 Mo2 Cl2'
_symmetry_space_group_name_H-M 'P 1 m 1'
_symmetry_Int_Tables_number 6
_cell_length_a 4.6281
_cell_length_b 3.4639
_cell_length_c 9.9733
_cell_angle_alpha 90.00
_cell_angle_beta 103.36
_cell_angle_gamma 90.00
loop_
_symmetry_equiv_pos_as_xyz
'x,y,z'
'x,-y,z'
loop_
_atom_site_label
_atom_site_type_symbol
_atom_site_fract_x
_atom_site_fract_y
_atom_site_fract_z
Sm1 Sm 0.0000 0.0000 0.0000
Sm2 Sm 0.3795 0.5000 0.7579
Mo1 Mo 0.5071 0.5000 0.2944
Mo2 Mo 0.5915 0.0000 0.4638
Cl1 Cl 0.1281 0.0000 0.5356
Cl2 Cl 0.9724 0.5000 0.2227
```

Properties
- Formation energy without anion corrections: -0.028 eV/atom



Respective M_tot values: 1.9 0.0 0.0 0.0 0.5 0.0 0.5 0.0 μB per formula unit.
Respective raw total energy values: -5.0287 -5.8794 -9.0103 -2.7866 -4.4688 -9.7274 -2.4309 -5.8266 eV/atom.